# 1
Below is a crystal of KCd2Au relaxed with PBEsol, with properties calculated at the meta-GGA SCAN level.

Lattice parameters (Å, degrees): 3.633 3.633 7.755 90.00 90.00 90.00
Sites, in units of the cell vectors:
K (0.000, 0.000, 0.000)
Cd (0.000, 0.000, 0.448)
Cd (0.500, 0.500, 0.672)
Au (0.500, 0.500, 0.299)

Summary:
* crystal system: tetragonal
* symmetry: P4mm (99)


# 2
Below is a crystal of NaTcBMo2 relaxed with PBEsol, with properties calculated at the meta-GGA SCAN level.

Lattice parameters (Å, degrees): 4.535 4.535 5.057 90.00 90.00 90.00
Sites, in units of the cell vectors:
Na (0.000, 0.000, 0.000)
Tc (0.000, 0.000, 0.500)
B (0.500, 0.500, 0.000)
Mo (0.000, 0.500, 0.500)
Mo (0.500, 0.000, 0.500)

Summary:
* crystal system: tetragonal
* symmetry: P4/mmm (123)


# 3
Below is a crystal of La5CoGe3 relaxed with PBEsol, with properties calculated at the meta-GGA SCAN level.

Lattice parameters (Å, degrees): 8.903 8.903 7.021 90.00 90.00 120.00
Sites, in units of the cell vectors:
La (0.000, 0.238, 0.250)
La (0.000, 0.762, 0.750)
La (0.238, 0.000, 0.250)
La (0.238, 0.238, 0.750)
La (0.333, 0.667, 0.000)
La (0.333, 0.667, 0.500)
La (0.667, 0.333, 0.000)
La (0.667, 0.333, 0.500)
La (0.762, 0.000, 0.750)
La (0.762, 0.762, 0.250)
Co (0.000, 0.000, 0.000)
Co (0.000, 0.000, 0.500)
Ge (0.000, 0.410, 0.750)
Ge (0.000, 0.590, 0.250)
Ge (0.410, 0.000, 0.750)
Ge (0.410, 0.410, 0.250)
Ge (0.590, 0.000, 0.250)
Ge (0.590, 0.590, 0.750)

Summary:
* crystal system: hexagonal
* symmetry: P6_3/mcm (193)


| no. | energy of formation (eV/atom) | calculated total energy (eV per atom) | calculated density (g cm⁻³) |
| --- | --- | --- | --- |
| 1 | -0.149 | -34.727 | 7.5 |
| 2 | 2.390 | -20.905 | 5.2 |
| 3 | -0.608 | -32.840 | 6.7 |